VASP calculation (GGA-PBE) on crystalline PrSmDy2Ho2 at its relaxed geometry.

a b c (Å): 6.582 17.874 3.403
angles (deg): 90.00 90.00 90.00
Space group Pnnm (No. 58)
Asymmetric unit:
Pr 0.000 0.000 0.000
Sm 0.000 0.500 0.000
Dy 0.224 0.186 0.000
Ho 0.222 0.351 0.500

Calculated values
Calculated volume, A^3/atom: 33.365
Total DFT energy (no corrections), eV/atom: -4.3655